No. 1
Compound: VIn2Br5
Source: the Alexandria database
Functional: PBE-GGA
Structure: relaxed

Unit cell a=11.6625 b=9.5962 c=8.2805 alpha=90.00 beta=134.69 gamma=90.00
With the nearest neighbours (Å) after each atom.
Space group Cm (No. 8)
Inequivalent atoms, fractional coordinates:
V: 0.0000 0.0000 0.0000 [2 per cell]  5 Br 2.37-2.60
In: 0.4424 0.2501 0.4994 [4 per cell]  4 Br 3.19-3.21
Br: 0.0832 0.2320 0.9998 [4 per cell]  1 V 2.43
Br: 0.2359 0.0000 0.4411 [2 per cell]  1 V 2.60
Br: 0.2947 0.5000 0.5588 [2 per cell]  1 V 2.60
Br: 0.2970 0.5000 0.0006 [2 per cell]  1 V 2.37

* E above lowest polymorph: 0.00 eV/f.u.

No. 2
Compound: VIn2Br8
Source: the Alexandria database
Functional: PBE-GGA
Structure: relaxed

Unit cell a=19.1959 b=8.8432 c=13.2107 alpha=90.00 beta=130.71 gamma=90.00
With the nearest neighbours (Å) after each atom.
Space group C2/c (No. 15)
Inequivalent atoms, fractional coordinates:
V: 0.0000 0.0053 0.2500 [4 per cell]  6 Br 2.63-2.65
In: 0.0809 0.2446 0.0325 [8 per cell]  4 Br 2.50-2.61
Br: 0.0763 0.2003 0.7055 [8 per cell]  1 In 2.60, 1 V 2.63
Br: 0.0831 0.2282 0.2306 [8 per cell]  1 In 2.59, 1 V 2.65
Br: 0.1457 0.0026 0.0063 [8 per cell]  1 In 2.61, 1 V 2.63
Br: 0.1557 0.4891 0.0576 [8 per cell]  1 In 2.50

No. 3
Compound: VIn3Br6
Source: the Alexandria database
Functional: PBE-GGA
Structure: relaxed

Unit cell a=7.2946 b=8.4118 c=12.5474 alpha=90.00 beta=120.77 gamma=90.00
With the nearest neighbours (Å) after each atom.
Space group P2_1/c (No. 14)
Inequivalent atoms, fractional coordinates:
V: 0.0000 0.0000 0.0000 [2 per cell]  6 Br 2.56-2.58
In: 0.3038 0.0810 0.7679 [4 per cell]  6 Br 3.20-3.50
In: 0.5000 0.0000 0.5000 [2 per cell]  6 Br 3.26-3.32
Br: 0.0939 0.0628 0.2224 [4 per cell]  1 V 2.56
Br: 0.2275 0.7448 0.0754 [4 per cell]  1 V 2.58
Br: 0.3279 0.1578 0.0349 [4 per cell]  1 V 2.57

No. 4
Compound: VInBr3
Source: the Alexandria database
Functional: PBE-GGA
Structure: relaxed

Unit cell a=5.5892 b=5.5892 c=5.5892 alpha=90.00 beta=90.00 gamma=90.00
With the nearest neighbours (Å) after each atom.
Space group Pm-3m (No. 221)
Inequivalent atoms, fractional coordinates:
V: 0.0000 0.0000 0.0000 [1 per cell]  12 Br 3.95
In: 0.5000 0.5000 0.5000 [1 per cell]  6 Br 2.79
Br: 0.0000 0.5000 0.5000 [3 per cell]  2 In 2.79

No. 5
Compound: V2InBr
Source: the Alexandria database
Functional: PBE-GGA
Structure: relaxed

Unit cell a=6.5275 b=6.5275 c=6.5275 alpha=90.00 beta=90.00 gamma=90.00
With the nearest neighbours (Å) after each atom.
Space group Fm-3m (No. 225)
Inequivalent atoms, fractional coordinates:
V: 0.2500 0.2500 0.2500 [8 per cell]  4 In 2.83, 4 Br 2.83
In: 0.0000 0.0000 0.0000 [4 per cell]  8 V 2.83
Br: 0.0000 0.0000 0.5000 [4 per cell]  8 V 2.83

No. 6
Compound: V3InBr8
Source: the Alexandria database
Functional: PBE-GGA
Structure: relaxed

Unit cell a=13.8742 b=8.0122 c=8.2108 alpha=90.00 beta=125.13 gamma=90.00
With the nearest neighbours (Å) after each atom.
Space group C2/m (No. 12)
Inequivalent atoms, fractional coordinates:
V: 0.0000 0.0000 0.0000 [2 per cell]  6 Br 2.63-2.72
V: 0.2500 0.2500 0.0000 [4 per cell]  6 Br 2.63-2.72
In: 0.0000 0.5000 0.0000 [2 per cell]  6 Br 2.93
Br: 0.0190 0.2243 0.7861 [8 per cell]  2 V 2.63, 1 In 2.93
Br: 0.2391 0.0000 0.2128 [4 per cell]  3 V 2.72
Br: 0.2433 0.0000 0.7861 [4 per cell]  2 V 2.63, 1 In 2.93

No. 7
Compound: InW4Br
Source: the Alexandria database
Functional: PBE-GGA
Structure: relaxed

Unit cell a=7.6801 b=7.6801 c=7.6801 alpha=90.00 beta=90.00 gamma=90.00
With the nearest neighbours (Å) after each atom.
Space group F-43m (No. 216)
Inequivalent atoms, fractional coordinates:
In: 0.0000 0.0000 0.0000 [4 per cell]  12 W 3.19, 4 Br 3.33
W: 0.1234 0.1234 0.6234 [16 per cell]  6 W 2.68-2.75
Br: 0.2500 0.2500 0.2500 [4 per cell]  12 W 3.18, 4 In 3.33

No. 8
Compound: InWBr4
Source: the Alexandria database
Functional: PBE-GGA
Structure: relaxed

Unit cell a=8.9824 b=8.9824 c=8.9824 alpha=90.00 beta=90.00 gamma=90.00
With the nearest neighbours (Å) after each atom.
Space group F-43m (No. 216)
Inequivalent atoms, fractional coordinates:
In: 0.0000 0.0000 0.0000 [4 per cell]  12 Br 3.73, 4 W 3.89
W: 0.2500 0.2500 0.7500 [4 per cell]  12 Br 3.72, 4 In 3.89
Br: 0.1240 0.1240 0.3760 [16 per cell]  6 Br 3.15-3.20

No. 9
Compound: In2WBr2
Source: the Alexandria database
Functional: PBE-GGA
Structure: relaxed

Unit cell a=7.7882 b=7.7882 c=4.8906 alpha=90.00 beta=90.00 gamma=90.00
With the nearest neighbours (Å) after each atom.
Space group P4/mbm (No. 127)
Inequivalent atoms, fractional coordinates:
In: 0.1755 0.3245 0.0000 [4 per cell]  2 W 2.87, 2 Br 3.02
W: 0.0000 0.0000 0.0000 [2 per cell]  4 In 2.87
Br: 0.1636 0.6636 0.5000 [4 per cell]  2 In 3.02

* E above lowest polymorph: 0.00 eV/f.u.

No. 10
Compound: In3WBr
Source: the Alexandria database
Functional: PBE-GGA
Structure: relaxed

Unit cell a=5.7033 b=5.7033 c=5.7033 alpha=90.00 beta=90.00 gamma=90.00
With the nearest neighbours (Å) after each atom.
Space group Pm-3m (No. 221)
Inequivalent atoms, fractional coordinates:
In: 0.0000 0.0000 0.5000 [3 per cell]  2 Br 2.85
W: 0.5000 0.5000 0.5000 [1 per cell]  12 In 4.03
Br: 0.0000 0.0000 0.0000 [1 per cell]  6 In 2.85

* E above lowest polymorph: 4.43 eV/f.u.

No. 11
Compound: In4WBr
Source: the Alexandria database
Functional: PBE-GGA
Structure: relaxed

Unit cell a=8.4065 b=8.4065 c=8.4065 alpha=90.00 beta=90.00 gamma=90.00
With the nearest neighbours (Å) after each atom.
Space group F-43m (No. 216)
Inequivalent atoms, fractional coordinates:
In: 0.1247 0.1247 0.1247 [16 per cell]  6 In 2.96-2.98
W: 0.2500 0.2500 0.7500 [4 per cell]  12 In 3.48, 4 Br 3.64
Br: 0.0000 0.0000 0.5000 [4 per cell]  12 In 3.49, 4 W 3.64

No. 12
Compound: In3WBr
Source: the Alexandria database
Functional: PBE-GGA
Structure: relaxed

Unit cell a=5.4643 b=5.4643 c=5.4643 alpha=90.00 beta=90.00 gamma=90.00
With the nearest neighbours (Å) after each atom.
Space group Pm-3m (No. 221)
Inequivalent atoms, fractional coordinates:
In: 0.0000 0.0000 0.5000 [3 per cell]  2 W 2.73
W: 0.0000 0.0000 0.0000 [1 per cell]  6 In 2.73
Br: 0.5000 0.5000 0.5000 [1 per cell]  12 In 3.86

* E above lowest polymorph: 0.00 eV/f.u.

Number 1: DFT total energy -3.59 eV/atom, formation energy without anion corrections -725 meV per atom. Number 2: DFT total energy -3.33 eV/atom, formation energy without anion corrections -788 meV per atom. Number 3: DFT total energy -3.46 eV/atom, formation energy without anion corrections -727 meV per atom. Number 4: DFT total energy -3.19 eV/atom, formation energy without anion corrections 186 meV per atom. Number 5: DFT total energy -4.94 eV/atom, formation energy without anion corrections 720 meV per atom. Number 6: DFT total energy -4.40 eV/atom, formation energy without anion corrections -775 meV per atom. Number 7: DFT total energy -8.30 eV/atom, formation energy without anion corrections 1074 meV per atom. Number 8: DFT total energy -2.50 eV/atom, formation energy without anion corrections 1230 meV per atom. Number 9: DFT total energy -3.65 eV/atom, formation energy without anion corrections 706 meV per atom. Number 10: DFT total energy -3.10 eV/atom, formation energy without anion corrections 1470 meV per atom. Number 11: DFT total energy -3.43 eV/atom, formation energy without anion corrections 834 meV per atom. Number 12: DFT total energy -3.99 eV/atom, formation energy without anion corrections 583 meV per atom.